[1]
# PBE MgSc2Co, relaxed
data_MgSc2Co
_space_group_name_H-M_alt 'P 1'
_space_group_IT_number 1
_cell_length_a 4.6522
_cell_length_b 4.6522
_cell_length_c 3.4353
_cell_angle_alpha 90.00
_cell_angle_beta 90.00
_cell_angle_gamma 90.08
loop_
_space_group_symop_operation_xyz
'x,y,z'
loop_
_atom_site_label
_atom_site_fract_x
_atom_site_fract_y
_atom_site_fract_z
Mg1 0.0000 0.0000 0.0000
Sc1 0.0000 0.5000 0.5000
Sc2 0.5000 0.0000 0.5000
Co1 0.5000 0.5000 0.0000
# energy of formation from the pure elements = -0.05 eV/atom
# space group = Cmmm (65)



[2]
# PBE LiSiNiGe, relaxed
data_LiSiNiGe
_space_group_name_H-M_alt 'P 1'
_space_group_IT_number 1
_cell_length_a 4.2131
_cell_length_b 4.2131
_cell_length_c 4.2131
_cell_angle_alpha 60.00
_cell_angle_beta 60.00
_cell_angle_gamma 60.00
loop_
_space_group_symop_operation_xyz
'x,y,z'
loop_
_atom_site_label
_atom_site_fract_x
_atom_site_fract_y
_atom_site_fract_z
Li1 0.0000 0.0000 0.0000
Si1 0.7500 0.7500 0.7500
Ni1 0.5000 0.5000 0.5000
Ge1 0.2500 0.2500 0.2500
# space group = F-43m (216)



[3]
# PBE TaFe2Co, relaxed
data_TaFe2Co
_space_group_name_H-M_alt 'P 1'
_space_group_IT_number 1
_cell_length_a 4.4535
_cell_length_b 4.4535
_cell_length_c 6.8906
_cell_angle_alpha 90.00
_cell_angle_beta 90.00
_cell_angle_gamma 120.00
loop_
_space_group_symop_operation_xyz
'x,y,z'
loop_
_atom_site_label
_atom_site_fract_x
_atom_site_fract_y
_atom_site_fract_z
Ta1 0.3333 0.6667 0.3504
Ta2 0.6667 0.3333 0.6496
Fe1 0.0000 0.0000 0.5000
Fe2 0.0000 0.5000 0.0000
Fe3 0.5000 0.0000 0.0000
Fe4 0.5000 0.5000 0.0000
Co1 0.3333 0.6667 0.7037
Co2 0.6667 0.3333 0.2963
# energy of formation from the pure elements = 0.45 eV/atom
# space group = P-3m1 (164)



[4]
# PBE InSbRh4, relaxed
data_InSbRh4
_space_group_name_H-M_alt 'P 1'
_space_group_IT_number 1
_cell_length_a 5.2786
_cell_length_b 5.2786
_cell_length_c 5.2786
_cell_angle_alpha 60.00
_cell_angle_beta 60.00
_cell_angle_gamma 60.00
loop_
_space_group_symop_operation_xyz
'x,y,z'
loop_
_atom_site_label
_atom_site_fract_x
_atom_site_fract_y
_atom_site_fract_z
In1 0.0000 0.0000 0.0000
Sb1 0.2500 0.2500 0.2500
Rh1 0.1248 0.6251 0.6251
Rh2 0.6251 0.1248 0.6251
Rh3 0.6251 0.6251 0.1248
Rh4 0.6251 0.6251 0.6251
# space group = F-43m (216)



[5]
# PBE TcAsPCl2, relaxed
data_TcAsPCl2
_space_group_name_H-M_alt 'P 1'
_space_group_IT_number 1
_cell_length_a 4.8548
_cell_length_b 4.8548
_cell_length_c 5.0509
_cell_angle_alpha 90.00
_cell_angle_beta 90.00
_cell_angle_gamma 90.00
loop_
_space_group_symop_operation_xyz
'x,y,z'
loop_
_atom_site_label
_atom_site_fract_x
_atom_site_fract_y
_atom_site_fract_z
Tc1 0.0000 0.0000 0.0000
As1 0.5000 0.5000 0.5000
P1 0.5000 0.5000 0.0000
Cl1 0.0000 0.5000 0.5000
Cl2 0.5000 0.0000 0.5000
# space group = P4/mmm (123)
# energy above the most stable polymorph in this dataset = 409 meV/atom



[6]
# PBE ScMo2Rh, relaxed
data_ScMo2Rh
_space_group_name_H-M_alt 'P 1'
_space_group_IT_number 1
_cell_length_a 2.7771
_cell_length_b 2.7771
_cell_length_c 8.6153
_cell_angle_alpha 90.00
_cell_angle_beta 90.00
_cell_angle_gamma 90.00
loop_
_space_group_symop_operation_xyz
'x,y,z'
loop_
_atom_site_label
_atom_site_fract_x
_atom_site_fract_y
_atom_site_fract_z
Sc1 0.0000 0.0000 0.0000
Mo1 0.5000 0.5000 0.2735
Mo2 0.5000 0.5000 0.7265
Rh1 0.0000 0.0000 0.5000
# energy of formation from the pure elements = 0.05 eV/atom
# space group = P4/mmm (123)
# energy above the most stable polymorph in this dataset = 269 meV/atom



[7]
# PBE LiMg2PbAu4, relaxed
data_LiMg2PbAu4
_space_group_name_H-M_alt 'P 1'
_space_group_IT_number 1
_cell_length_a 8.7934
_cell_length_b 8.7934
_cell_length_c 8.7934
_cell_angle_alpha 30.45
_cell_angle_beta 30.45
_cell_angle_gamma 30.45
loop_
_space_group_symop_operation_xyz
'x,y,z'
loop_
_atom_site_label
_atom_site_fract_x
_atom_site_fract_y
_atom_site_fract_z
Li1 0.0000 0.0000 0.0000
Mg1 0.2585 0.2585 0.2585
Mg2 0.7415 0.7415 0.7415
Pb1 0.5000 0.5000 0.5000
Au1 0.1071 0.1071 0.1071
Au2 0.3684 0.3684 0.3684
Au3 0.6316 0.6316 0.6316
Au4 0.8929 0.8929 0.8929
# energy of formation from the pure elements = -0.43 eV/atom
# space group = R-3m (166)



[8]
# PBE Tm2Cu15Si2, relaxed
data_Tm2Cu15Si2
_space_group_name_H-M_alt 'P 1'
_space_group_IT_number 1
_cell_length_a 6.4397
_cell_length_b 6.4397
_cell_length_c 6.4397
_cell_angle_alpha 82.80
_cell_angle_beta 82.80
_cell_angle_gamma 82.80
loop_
_space_group_symop_operation_xyz
'x,y,z'
loop_
_atom_site_label
_atom_site_fract_x
_atom_site_fract_y
_atom_site_fract_z
Tm1 0.1556 0.1556 0.1556
Tm2 0.8444 0.8444 0.8444
Cu1 0.0000 0.5000 0.5000
Cu2 0.1543 0.1543 0.6546
Cu3 0.1543 0.6546 0.1543
Cu4 0.1967 0.5000 0.8033
Cu5 0.1967 0.8033 0.5000
Cu6 0.3454 0.8457 0.8457
Cu7 0.5000 0.0000 0.5000
Cu8 0.5000 0.1967 0.8033
Cu9 0.5000 0.5000 0.0000
Cu10 0.5000 0.8033 0.1967
Cu11 0.6546 0.1543 0.1543
Cu12 0.8033 0.1967 0.5000
Cu13 0.8033 0.5000 0.1967
Cu14 0.8457 0.3454 0.8457
Cu15 0.8457 0.8457 0.3454
Si1 0.4025 0.4025 0.4025
Si2 0.5975 0.5975 0.5975
# space group = R-3m (166)



[9]
# PBE BiNCl3, relaxed
data_BiNCl3
_space_group_name_H-M_alt 'P 1'
_space_group_IT_number 1
_cell_length_a 5.4312
_cell_length_b 5.4312
_cell_length_c 5.4312
_cell_angle_alpha 90.00
_cell_angle_beta 90.00
_cell_angle_gamma 90.00
loop_
_space_group_symop_operation_xyz
'x,y,z'
loop_
_atom_site_label
_atom_site_fract_x
_atom_site_fract_y
_atom_site_fract_z
Bi1 0.0000 0.0000 0.0000
N1 0.5000 0.5000 0.5000
Cl1 0.0000 0.0000 0.5000
Cl2 0.0000 0.5000 0.0000
Cl3 0.5000 0.0000 0.0000
# space group = Pm-3m (221)
# energy above the most stable polymorph in this dataset = 40 meV/atom



[10]
# PBE BaAgTe2, relaxed
data_BaAgTe2
_space_group_name_H-M_alt 'P 1'
_space_group_IT_number 1
_cell_length_a 4.7110
_cell_length_b 4.4012
_cell_length_c 7.0786
_cell_angle_alpha 90.00
_cell_angle_beta 90.18
_cell_angle_gamma 90.00
loop_
_space_group_symop_operation_xyz
'x,y,z'
loop_
_atom_site_label
_atom_site_fract_x
_atom_site_fract_y
_atom_site_fract_z
Ba1 0.0000 0.0000 0.0000
Ag1 0.5000 0.0000 0.5000
Te1 0.4991 0.5000 0.7603
Te2 0.5009 0.5000 0.2397
# space group = P2/m (10)



[11]
# PBE Te4RuRh, relaxed
data_Te4RuRh
_space_group_name_H-M_alt 'P 1'
_space_group_IT_number 1
_cell_length_a 6.4871
_cell_length_b 6.5001
_cell_length_c 6.4972
_cell_angle_alpha 90.00
_cell_angle_beta 90.02
_cell_angle_gamma 90.00
loop_
_space_group_symop_operation_xyz
'x,y,z'
loop_
_atom_site_label
_atom_site_fract_x
_atom_site_fract_y
_atom_site_fract_z
Te1 0.1263 0.1312 0.3685
Te2 0.1263 0.3688 0.8685
Te3 0.3669 0.6292 0.3719
Te4 0.3669 0.8708 0.8719
Te5 0.6331 0.1292 0.1281
Te6 0.6331 0.3708 0.6281
Te7 0.8737 0.6312 0.1315
Te8 0.8737 0.8688 0.6315
Ru1 0.0000 0.0000 0.0000
Ru2 0.0000 0.5000 0.5000
Rh1 0.5000 0.0000 0.5000
Rh2 0.5000 0.5000 0.0000
# space group = P2_1/c (14)
# energy above the most stable polymorph in this dataset = 0 meV/atom



[12]
# PBE SrRuSeBr2, relaxed
data_SrRuSeBr2
_space_group_name_H-M_alt 'P 1'
_space_group_IT_number 1
_cell_length_a 5.1936
_cell_length_b 5.1936
_cell_length_c 4.8707
_cell_angle_alpha 90.00
_cell_angle_beta 90.00
_cell_angle_gamma 90.00
loop_
_space_group_symop_operation_xyz
'x,y,z'
loop_
_atom_site_label
_atom_site_fract_x
_atom_site_fract_y
_atom_site_fract_z
Sr1 0.0000 0.0000 0.0000
Ru1 0.5000 0.5000 0.5000
Se1 0.5000 0.5000 0.0000
Br1 0.0000 0.5000 0.5000
Br2 0.5000 0.0000 0.5000
# space group = P4/mmm (123)
# energy above the most stable polymorph in this dataset = 0 meV/atom



[13]
# PBE Pr7Y2Sc, relaxed
data_Pr7Y2Sc
_space_group_name_H-M_alt 'P 1'
_space_group_IT_number 1
_cell_length_a 9.7992
_cell_length_b 9.7992
_cell_length_c 5.3395
_cell_angle_alpha 90.00
_cell_angle_beta 90.00
_cell_angle_gamma 126.30
loop_
_space_group_symop_operation_xyz
'x,y,z'
loop_
_atom_site_label
_atom_site_fract_x
_atom_site_fract_y
_atom_site_fract_z
Pr1 0.0000 0.0000 0.0000
Pr2 0.2140 0.4260 0.0000
Pr3 0.3047 0.6953 0.5000
Pr4 0.4260 0.2140 0.0000
Pr5 0.5740 0.7860 0.0000
Pr6 0.6953 0.3047 0.5000
Pr7 0.7860 0.5740 0.0000
Y1 0.2057 0.7943 0.0000
Y2 0.7943 0.2057 0.0000
Sc1 0.5000 0.5000 0.5000
# energy of formation from the pure elements = 0.65 eV/atom
# space group = Cmmm (65)



[14]
# PBE MgNb2N, relaxed
data_MgNb2N
_space_group_name_H-M_alt 'P 1'
_space_group_IT_number 1
_cell_length_a 5.5644
_cell_length_b 5.5644
_cell_length_c 5.5644
_cell_angle_alpha 107.50
_cell_angle_beta 107.50
_cell_angle_gamma 113.49
loop_
_space_group_symop_operation_xyz
'x,y,z'
loop_
_atom_site_label
_atom_site_fract_x
_atom_site_fract_y
_atom_site_fract_z
Mg1 0.0000 0.0000 0.0000
Mg2 0.7500 0.2500 0.5000
Nb1 0.2228 0.6250 0.0978
Nb2 0.3750 0.4728 0.5978
Nb3 0.5272 0.1250 0.9022
Nb4 0.8750 0.7772 0.4022
N1 0.2500 0.7500 0.5000
N2 0.5000 0.5000 0.0000
# space group = I-42d (122)
# energy above the most stable polymorph in this dataset = 0 meV/atom



[15]
# PBE KMoH2, relaxed
data_KMoH2
_space_group_name_H-M_alt 'P 1'
_space_group_IT_number 1
_cell_length_a 5.3547
_cell_length_b 5.3547
_cell_length_c 5.3547
_cell_angle_alpha 118.60
_cell_angle_beta 118.60
_cell_angle_gamma 92.44
loop_
_space_group_symop_operation_xyz
'x,y,z'
loop_
_atom_site_label
_atom_site_fract_x
_atom_site_fract_y
_atom_site_fract_z
K1 0.0000 0.0000 0.0000
K2 0.7500 0.2500 0.5000
Mo1 0.2500 0.7500 0.5000
Mo2 0.5000 0.5000 0.0000
H1 0.2300 0.6250 0.1050
H2 0.3750 0.4800 0.6050
H3 0.5200 0.1250 0.8950
H4 0.8750 0.7700 0.3950
# space group = I-42d (122)
# energy above the most stable polymorph in this dataset = 0 meV/atom



[16]
# PBE RbV3Hg, relaxed
data_RbV3Hg
_space_group_name_H-M_alt 'P 1'
_space_group_IT_number 1
_cell_length_a 4.5248
_cell_length_b 4.5248
_cell_length_c 4.5248
_cell_angle_alpha 90.00
_cell_angle_beta 90.00
_cell_angle_gamma 90.00
loop_
_space_group_symop_operation_xyz
'x,y,z'
loop_
_atom_site_label
_atom_site_fract_x
_atom_site_fract_y
_atom_site_fract_z
Rb1 0.0000 0.0000 0.0000
V1 0.0000 0.0000 0.5000
V2 0.0000 0.5000 0.0000
V3 0.5000 0.0000 0.0000
Hg1 0.5000 0.5000 0.5000
# energy of formation from the pure elements = 2.46 eV/atom
# space group = Pm-3m (221)
# energy above the most stable polymorph in this dataset = 914 meV/atom



[17]
# PBE Zr3CoRh, relaxed
data_Zr3CoRh
_space_group_name_H-M_alt 'P 1'
_space_group_IT_number 1
_cell_length_a 4.7398
_cell_length_b 4.7398
_cell_length_c 4.7398
_cell_angle_alpha 90.00
_cell_angle_beta 90.00
_cell_angle_gamma 90.00
loop_
_space_group_symop_operation_xyz
'x,y,z'
loop_
_atom_site_label
_atom_site_fract_x
_atom_site_fract_y
_atom_site_fract_z
Zr1 0.0000 0.0000 0.5000
Zr2 0.0000 0.5000 0.0000
Zr3 0.5000 0.0000 0.0000
Co1 0.0000 0.0000 0.0000
Rh1 0.5000 0.5000 0.5000
# energy of formation from the pure elements = 0.21 eV/atom
# space group = Pm-3m (221)
# energy above the most stable polymorph in this dataset = 605 meV/atom



[18]
# PBE KTi2Sb2, relaxed
data_KTi2Sb2
_space_group_name_H-M_alt 'P 1'
_space_group_IT_number 1
_cell_length_a 8.5882
_cell_length_b 8.5882
_cell_length_c 3.1421
_cell_angle_alpha 90.00
_cell_angle_beta 90.00
_cell_angle_gamma 90.00
loop_
_space_group_symop_operation_xyz
'x,y,z'
loop_
_atom_site_label
_atom_site_fract_x
_atom_site_fract_y
_atom_site_fract_z
K1 0.0000 0.0000 0.0000
K2 0.5000 0.5000 0.0000
Ti1 0.1111 0.3889 0.0000
Ti2 0.3889 0.8889 0.0000
Ti3 0.6111 0.1111 0.0000
Ti4 0.8889 0.6111 0.0000
Sb1 0.1706 0.6706 0.5000
Sb2 0.3294 0.1706 0.5000
Sb3 0.6706 0.8294 0.5000
Sb4 0.8294 0.3294 0.5000
# space group = P4/mbm (127)
# energy above the most stable polymorph in this dataset = 156 meV/atom



[19]
# PBE Ac6Si2BiSe3, relaxed
data_Ac6Si2BiSe3
_space_group_name_H-M_alt 'P 1'
_space_group_IT_number 1
_cell_length_a 10.2483
_cell_length_b 10.2483
_cell_length_c 9.2041
_cell_angle_alpha 101.99
_cell_angle_beta 101.99
_cell_angle_gamma 26.00
loop_
_space_group_symop_operation_xyz
'x,y,z'
loop_
_atom_site_label
_atom_site_fract_x
_atom_site_fract_y
_atom_site_fract_z
Ac1 0.0054 0.0054 0.2624
Ac2 0.3293 0.3293 0.4235
Ac3 0.3286 0.3286 0.9000
Ac4 0.6714 0.6714 0.1000
Ac5 0.6707 0.6707 0.5765
Ac6 0.9946 0.9946 0.7376
Si1 0.1668 0.1668 0.3346
Si2 0.8332 0.8332 0.6654
Bi1 0.5000 0.5000 0.0000
Se1 0.1644 0.1644 0.8342
Se2 0.5000 0.5000 0.5000
Se3 0.8356 0.8356 0.1658
# space group = C2/m (12)



[20]
# PBE PmNiHg, relaxed
data_PmNiHg
_space_group_name_H-M_alt 'P 1'
_space_group_IT_number 1
_cell_length_a 4.5562
_cell_length_b 4.5562
_cell_length_c 3.6925
_cell_angle_alpha 90.00
_cell_angle_beta 90.00
_cell_angle_gamma 120.00
loop_
_space_group_symop_operation_xyz
'x,y,z'
loop_
_atom_site_label
_atom_site_fract_x
_atom_site_fract_y
_atom_site_fract_z
Pm1 0.0000 0.0000 0.0000
Ni1 0.3333 0.6667 0.5000
Hg1 0.6667 0.3333 0.5000
# energy of formation from the pure elements = -0.29 eV/atom
# space group = P-6m2 (187)
# energy above the most stable polymorph in this dataset = 140 meV/atom



Listing uncorrected energy for the structures above in their given order: -21.551; -18.316; -68.198; -35.953; -19.524; -35.142; -25.339; -83.887; -16.194; -14.345; -62.689; -21.183; -46.266; -60.083; -32.986; -16.341; -39.058; -52.158; -65.677; -11.708 eV per cell.
Listing size of the total moment for the structures above in their given order: 0.2; 0.0; 3.6; 0.0; 5.0; 0.0; 0.0; 0.0; 3.0; 0.0; 0.0; 0.0; 0.0; 0.0; 0.0; 0.0; 0.0; 0.0; 0.0; 0.0 μB/f.u..